First-principles (PBE+U) data for crystalline Dy2CrF8 at its relaxed geometry, as listed in Alexandria.

Results
Total DFT energy (no corrections) ... -6.565 eV per atom
Offset from the most stable computed form ... 0 meV per atom
Crystal system ... monoclinic
Space-group type ... C2/m, No. 12

a b c (Å): 4.709 5.986 5.986
angles (deg): 72.77 103.14 103.14
Last column: magnetic moment on the atom in μB.
Positions (direct):
Cr1 0.000 0.000 0.000  3.82
F1 0.755 0.135 0.135  0.00
F2 0.728 0.039 0.648  0.01
F3 0.272 0.352 0.961  0.01
F4 0.216 0.428 0.428  0.00
F5 0.784 0.572 0.572  0.00
F6 0.272 0.961 0.352  0.01
F7 0.728 0.648 0.039  0.01
F8 0.245 0.865 0.865  0.00
Dy1 0.602 0.324 0.324  0.01
Dy2 0.398 0.676 0.676  0.01